# HgMo2Rh

A relaxed structure of HgMo2Rh (GGA-PBE, Alexandria via LeMat-Bulk).

Lattice parameters (Å, degrees): 9.641 9.641 9.641 16.91 16.91 16.91
Positions (direct):
Hg (0.750, 0.750, 0.750)
Mo (0.994, 0.994, 0.994)
Mo (0.506, 0.506, 0.506)
Rh (0.250, 0.250, 0.250)

Values from the calculation:
The value obtained for the raw total energy is -7.01 eV per atom. Its calculated formation energy is 0.315 eV/atom.



# Hg2MoRh

A relaxed structure of Hg2MoRh (GGA-PBE, Alexandria via LeMat-Bulk).

Lattice parameters (Å, degrees): 2.939 2.939 8.505 90.00 90.00 89.98
Positions (direct):
Hg (0.000, 0.000, 0.972)
Hg (0.500, 0.500, 0.276)
Mo (0.000, 0.000, 0.531)
Rh (0.500, 0.500, 0.722)

Values from the calculation:
The value obtained for the raw total energy is -4.54 eV per atom. The energy relative to the lowest polymorph listed for this composition comes out at 0.00 eV per formula unit. Its calculated formation energy is 0.156 eV/atom.



# HgMo2Rh

A relaxed structure of HgMo2Rh (GGA-PBE, Alexandria via LeMat-Bulk).

Lattice parameters (Å, degrees): 9.638 9.638 9.638 17.01 17.01 17.01
Positions (direct):
Hg (0.752, 0.752, 0.752)
Mo (0.996, 0.996, 0.996)
Mo (0.246, 0.246, 0.246)
Rh (0.506, 0.506, 0.506)

Values from the calculation:
The value obtained for the raw total energy is -7.04 eV per atom. Its calculated formation energy is 0.286 eV/atom.



# HgMo3Rh

A relaxed structure of HgMo3Rh (GGA-PBE, Alexandria via LeMat-Bulk).

Lattice parameters (Å, degrees): 4.862 4.862 4.862 90.00 90.00 90.00
Positions (direct):
Mo (0.000, 0.500, 0.000)
Mo (0.000, 0.000, 0.500)
Mo (0.500, 0.000, 0.000)
Rh (0.500, 0.500, 0.500)
Hg (0.000, 0.000, 0.000)

Values from the calculation:
The value obtained for the raw total energy is -5.23 eV per atom. The energy relative to the lowest polymorph listed for this composition comes out at 6.08 eV per formula unit. Its calculated formation energy is 2.804 eV/atom.



# HgMoRh3

A relaxed structure of HgMoRh3 (GGA-PBE, Alexandria via LeMat-Bulk).

Lattice parameters (Å, degrees): 4.809 4.809 4.809 90.00 90.00 90.00
Positions (direct):
Mo (0.500, 0.500, 0.500)
Rh (0.000, 0.500, 0.000)
Rh (0.000, 0.000, 0.500)
Rh (0.500, 0.000, 0.000)
Hg (0.000, 0.000, 0.000)

Values from the calculation:
The value obtained for the raw total energy is -4.43 eV per atom. The energy relative to the lowest polymorph listed for this composition comes out at 6.04 eV per formula unit. Its calculated formation energy is 2.212 eV/atom.



# Hg2MoRh

A relaxed structure of Hg2MoRh (GGA-PBE, Alexandria via LeMat-Bulk).

Lattice parameters (Å, degrees): 4.763 2.881 5.261 83.70 90.00 90.00
Positions (direct):
Hg (0.000, 0.963, 0.997)
Hg (0.000, 0.537, 0.503)
Mo (0.500, 0.250, 0.250)
Rh (0.500, 0.750, 0.750)

Values from the calculation:
The value obtained for the raw total energy is -4.17 eV per atom. The energy relative to the lowest polymorph listed for this composition comes out at 1.48 eV per formula unit. Its calculated formation energy is 0.526 eV/atom.



# HgMo2Rh

A relaxed structure of HgMo2Rh (GGA-PBE, Alexandria via LeMat-Bulk).

Lattice parameters (Å, degrees): 4.551 2.816 5.104 89.91 90.00 90.00
Positions (direct):
Hg (0.500, 0.625, 0.775)
Mo (0.000, 0.124, 0.989)
Mo (0.500, 0.126, 0.279)
Rh (0.000, 0.624, 0.457)

Values from the calculation:
The value obtained for the raw total energy is -7.06 eV per atom. Its calculated formation energy is 0.274 eV/atom.



# HgMo2Rh

A relaxed structure of HgMo2Rh (GGA-PBE, Alexandria via LeMat-Bulk).

Lattice parameters (Å, degrees): 4.233 2.781 6.233 63.64 90.00 90.00
Positions (direct):
Hg (0.500, 0.750, 0.750)
Mo (0.000, 0.976, 0.027)
Mo (0.000, 0.524, 0.473)
Rh (0.500, 0.250, 0.250)

Values from the calculation:
The value obtained for the raw total energy is -7.08 eV per atom. Its calculated formation energy is 0.246 eV/atom.



# HgMo2Rh

A relaxed structure of HgMo2Rh (GGA-PBE, Alexandria via LeMat-Bulk).

Lattice parameters (Å, degrees): 5.075 5.075 4.646 77.81 77.81 34.72
Positions (direct):
Hg (0.250, 0.250, 0.250)
Mo (0.007, 0.007, 0.968)
Mo (0.493, 0.493, 0.532)
Rh (0.750, 0.750, 0.750)

Values from the calculation:
The value obtained for the raw total energy is -7.02 eV per atom. Its calculated formation energy is 0.307 eV/atom.



# HgMo2Rh

A relaxed structure of HgMo2Rh (GGA-PBE, Alexandria via LeMat-Bulk).

Lattice parameters (Å, degrees): 3.241 3.241 6.408 90.00 90.00 90.00
Positions (direct):
Hg (0.500, 0.500, 0.745)
Mo (0.000, 0.000, 0.033)
Mo (0.500, 0.500, 0.241)
Rh (0.000, 0.000, 0.482)

Values from the calculation:
The value obtained for the raw total energy is -7.06 eV per atom. Its calculated formation energy is 0.269 eV/atom.



# HgMo2Rh

A relaxed structure of HgMo2Rh (GGA-PBE, Alexandria via LeMat-Bulk).

Lattice parameters (Å, degrees): 5.437 5.437 5.437 147.40 127.45 63.23
Positions (direct):
Hg (0.749, 0.249, 0.500)
Mo (0.030, 0.030, 0.000)
Mo (0.242, 0.742, 0.500)
Rh (0.479, 0.479, 0.000)

Values from the calculation:
The value obtained for the raw total energy is -6.95 eV per atom. Its calculated formation energy is 0.376 eV/atom.



# Hg2MoRh

A relaxed structure of Hg2MoRh (GGA-PBE, Alexandria via LeMat-Bulk).

Lattice parameters (Å, degrees): 5.987 5.987 5.987 152.32 131.13 57.08
Positions (direct):
Hg (0.980, 0.980, 0.000)
Hg (0.268, 0.768, 0.500)
Mo (0.526, 0.526, 0.000)
Rh (0.726, 0.226, 0.500)

Values from the calculation:
The value obtained for the raw total energy is -4.28 eV per atom. The energy relative to the lowest polymorph listed for this composition comes out at 1.03 eV per formula unit. Its calculated formation energy is 0.413 eV/atom.



# HgMo2Rh

A relaxed structure of HgMo2Rh (GGA-PBE, Alexandria via LeMat-Bulk).

Lattice parameters (Å, degrees): 4.908 4.908 4.908 131.21 131.21 71.48
Positions (direct):
Hg (0.750, 0.250, 0.500)
Mo (0.000, 0.000, 0.000)
Mo (0.250, 0.750, 0.500)
Rh (0.500, 0.500, 0.000)

Values from the calculation:
The value obtained for the raw total energy is -6.98 eV per atom. Its calculated formation energy is 0.353 eV/atom.



# Hg2MoRh

A relaxed structure of Hg2MoRh (GGA-PBE, Alexandria via LeMat-Bulk).

Lattice parameters (Å, degrees): 10.254 10.254 10.254 16.38 16.38 16.38
Positions (direct):
Hg (0.009, 0.009, 0.009)
Hg (0.242, 0.242, 0.242)
Mo (0.491, 0.491, 0.491)
Rh (0.758, 0.758, 0.758)

Values from the calculation:
The value obtained for the raw total energy is -4.47 eV per atom. The energy relative to the lowest polymorph listed for this composition comes out at 0.27 eV per formula unit. Its calculated formation energy is 0.224 eV/atom.



# Hg2MoRh

A relaxed structure of Hg2MoRh (GGA-PBE, Alexandria via LeMat-Bulk).

Lattice parameters (Å, degrees): 4.956 4.956 4.956 129.25 129.25 74.61
Positions (direct):
Hg (0.000, 0.000, 0.000)
Hg (0.250, 0.750, 0.500)
Mo (0.500, 0.500, 0.000)
Rh (0.750, 0.250, 0.500)

Values from the calculation:
The value obtained for the raw total energy is -4.19 eV per atom. The energy relative to the lowest polymorph listed for this composition comes out at 1.41 eV per formula unit. Its calculated formation energy is 0.508 eV/atom.



# Hg2MoRh

A relaxed structure of Hg2MoRh (GGA-PBE, Alexandria via LeMat-Bulk).

Lattice parameters (Å, degrees): 7.588 7.588 6.019 50.93 50.93 90.00
Positions (direct):
Mo (0.500, 0.500, 0.000)
Mo (0.250, 0.750, 0.500)
Rh (0.000, 0.000, 0.000)
Rh (0.750, 0.250, 0.500)
Hg (0.632, 0.125, 0.250)
Hg (0.118, 0.625, 0.250)
Hg (0.375, 0.368, 0.750)
Hg (0.875, 0.882, 0.750)

Values from the calculation:
The value obtained for the raw total energy is -3.81 eV per atom. The energy relative to the lowest polymorph listed for this composition comes out at 2.93 eV per formula unit. Its calculated formation energy is 0.890 eV/atom.



# Hg2MoRh

A relaxed structure of Hg2MoRh (GGA-PBE, Alexandria via LeMat-Bulk).

Lattice parameters (Å, degrees): 5.168 5.168 2.887 90.00 90.00 112.43
Positions (direct):
Hg (0.000, 0.000, 0.000)
Hg (0.500, 0.500, 0.000)
Mo (0.500, 0.000, 0.500)
Rh (0.000, 0.500, 0.500)

Values from the calculation:
The value obtained for the raw total energy is -4.16 eV per atom. The energy relative to the lowest polymorph listed for this composition comes out at 1.53 eV per formula unit. Its calculated formation energy is 0.538 eV/atom.



# HgMoRh3

A relaxed structure of HgMoRh3 (GGA-PBE, Alexandria via LeMat-Bulk).

Lattice parameters (Å, degrees): 4.701 4.701 4.701 90.00 90.00 90.00
Positions (direct):
Mo (0.000, 0.000, 0.000)
Rh (0.000, 0.500, 0.000)
Rh (0.000, 0.000, 0.500)
Rh (0.500, 0.000, 0.000)
Hg (0.500, 0.500, 0.500)

Values from the calculation:
The value obtained for the raw total energy is -5.63 eV per atom. The energy relative to the lowest polymorph listed for this composition comes out at 0.00 eV per formula unit. Its calculated formation energy is 1.004 eV/atom.



# Hg2MoRh

A relaxed structure of Hg2MoRh (GGA-PBE, Alexandria via LeMat-Bulk).

Lattice parameters (Å, degrees): 4.883 4.883 5.326 82.77 82.77 34.78
Positions (direct):
Hg (0.996, 0.996, 0.001)
Hg (0.754, 0.754, 0.746)
Mo (0.505, 0.505, 0.465)
Rh (0.245, 0.245, 0.288)

Values from the calculation:
The value obtained for the raw total energy is -4.31 eV per atom. The energy relative to the lowest polymorph listed for this composition comes out at 0.91 eV per formula unit. Its calculated formation energy is 0.384 eV/atom.



# HgMo2Rh

A relaxed structure of HgMo2Rh (GGA-PBE, Alexandria via LeMat-Bulk).

Lattice parameters (Å, degrees): 2.801 2.801 8.357 90.00 90.00 90.00
Positions (direct):
Hg (0.500, 0.500, 0.750)
Mo (0.000, 0.000, 0.021)
Mo (0.000, 0.000, 0.479)
Rh (0.500, 0.500, 0.250)

Values from the calculation:
The value obtained for the raw total energy is -7.10 eV per atom. Its calculated formation energy is 0.232 eV/atom.



# HgMo4Rh

A relaxed structure of HgMo4Rh (GGA-PBE, Alexandria via LeMat-Bulk).

Lattice parameters (Å, degrees): 5.233 5.233 5.233 60.00 60.00 60.00
Positions (direct):
Hg (0.000, 0.000, 0.000)
Mo (0.877, 0.374, 0.374)
Mo (0.374, 0.374, 0.877)
Mo (0.374, 0.877, 0.374)
Mo (0.374, 0.374, 0.374)
Rh (0.750, 0.750, 0.750)

Values from the calculation:
The value obtained for the raw total energy is -8.09 eV per atom. Its calculated formation energy is 0.409 eV/atom.



# Hg2MoRh

A relaxed structure of Hg2MoRh (GGA-PBE, Alexandria via LeMat-Bulk).

Lattice parameters (Å, degrees): 4.876 4.876 3.004 90.00 90.00 90.00
Positions (direct):
Hg (0.000, 0.000, 0.000)
Hg (0.500, 0.500, 0.000)
Mo (0.500, 0.000, 0.500)
Rh (0.000, 0.500, 0.500)

Values from the calculation:
The value obtained for the raw total energy is -4.13 eV per atom. The energy relative to the lowest polymorph listed for this composition comes out at 1.65 eV per formula unit. Its calculated formation energy is 0.569 eV/atom.



# Hg2MoRh

A relaxed structure of Hg2MoRh (GGA-PBE, Alexandria via LeMat-Bulk).

Lattice parameters (Å, degrees): 4.425 2.894 5.847 78.39 90.00 90.00
Positions (direct):
Hg (0.000, 0.977, 0.978)
Hg (0.500, 0.262, 0.272)
Mo (0.000, 0.649, 0.521)
Rh (0.500, 0.611, 0.729)

Values from the calculation:
The value obtained for the raw total energy is -4.31 eV per atom. The energy relative to the lowest polymorph listed for this composition comes out at 0.91 eV per formula unit. Its calculated formation energy is 0.385 eV/atom.



# HgMo2Rh

A relaxed structure of HgMo2Rh (GGA-PBE, Alexandria via LeMat-Bulk).

Lattice parameters (Å, degrees): 5.074 5.074 2.787 90.00 90.00 114.86
Positions (direct):
Hg (0.000, 0.500, 0.500)
Mo (0.000, 0.000, 0.000)
Mo (0.500, 0.500, 0.000)
Rh (0.500, 0.000, 0.500)

Values from the calculation:
The value obtained for the raw total energy is -7.01 eV per atom. Its calculated formation energy is 0.321 eV/atom.



# Hg2MoRh

A relaxed structure of Hg2MoRh (GGA-PBE, Alexandria via LeMat-Bulk).

Lattice parameters (Å, degrees): 5.071 5.071 5.071 131.30 131.30 71.34
Positions (direct):
Hg (0.000, 0.000, 0.000)
Hg (0.500, 0.500, 0.000)
Mo (0.250, 0.750, 0.500)
Rh (0.750, 0.250, 0.500)

Values from the calculation:
The value obtained for the raw total energy is -4.15 eV per atom. The energy relative to the lowest polymorph listed for this composition comes out at 1.54 eV per formula unit. Its calculated formation energy is 0.542 eV/atom.



# HgMo2Rh2

A relaxed structure of HgMo2Rh2 (GGA-PBE, Alexandria via LeMat-Bulk).

Lattice parameters (Å, degrees): 7.691 7.691 2.790 90.00 90.00 90.00
Positions (direct):
Mo (0.168, 0.668, 0.500)
Mo (0.668, 0.832, 0.500)
Mo (0.832, 0.332, 0.500)
Mo (0.332, 0.168, 0.500)
Rh (0.375, 0.875, 0.000)
Rh (0.875, 0.625, 0.000)
Rh (0.625, 0.125, 0.000)
Rh (0.125, 0.375, 0.000)
Hg (0.000, 0.000, 0.000)
Hg (0.500, 0.500, 0.000)

Values from the calculation:
The value obtained for the raw total energy is -7.22 eV per atom. The energy relative to the lowest polymorph listed for this composition comes out at 0.00 eV per formula unit. Its calculated formation energy is 0.109 eV/atom.



# Hg2MoRh

A relaxed structure of Hg2MoRh (GGA-PBE, Alexandria via LeMat-Bulk).

Lattice parameters (Å, degrees): 2.960 4.960 4.929 90.00 90.00 90.00
Positions (direct):
Hg (0.000, 0.000, 0.000)
Hg (0.500, 0.500, 0.000)
Mo (0.500, 0.000, 0.500)
Rh (0.000, 0.500, 0.500)

Values from the calculation:
The value obtained for the raw total energy is -4.15 eV per atom. The energy relative to the lowest polymorph listed for this composition comes out at 1.54 eV per formula unit. Its calculated formation energy is 0.542 eV/atom.



# HgMo2Rh

A relaxed structure of HgMo2Rh (GGA-PBE, Alexandria via LeMat-Bulk).

Lattice parameters (Å, degrees): 3.885 3.883 4.318 90.00 90.00 90.00
Positions (direct):
Hg (0.000, 0.500, 0.500)
Mo (0.000, 0.000, 0.000)
Mo (0.500, 0.500, 0.000)
Rh (0.500, 0.000, 0.500)

Values from the calculation:
The value obtained for the raw total energy is -7.00 eV per atom. Its calculated formation energy is 0.324 eV/atom.



# Hg2MoRh

A relaxed structure of Hg2MoRh (GGA-PBE, Alexandria via LeMat-Bulk).

Lattice parameters (Å, degrees): 4.958 4.958 5.191 80.12 80.12 34.57
Positions (direct):
Hg (0.998, 0.998, 0.004)
Hg (0.502, 0.502, 0.496)
Mo (0.750, 0.750, 0.750)
Rh (0.250, 0.250, 0.250)

Values from the calculation:
The value obtained for the raw total energy is -4.22 eV per atom. The energy relative to the lowest polymorph listed for this composition comes out at 1.29 eV per formula unit. Its calculated formation energy is 0.478 eV/atom.



# HgMo2Rh

A relaxed structure of HgMo2Rh (GGA-PBE, Alexandria via LeMat-Bulk).

Lattice parameters (Å, degrees): 2.815 2.815 8.402 90.00 90.00 90.11
Positions (direct):
Hg (0.500, 0.500, 0.740)
Mo (0.000, 0.000, 0.013)
Mo (0.500, 0.500, 0.270)
Rh (0.000, 0.000, 0.477)

Values from the calculation:
The value obtained for the raw total energy is -7.14 eV per atom. Its calculated formation energy is 0.189 eV/atom.